Entry from Alexandria via LeMat-Bulk: crystalline HPdPt2Au at its relaxed geometry (PBE-GGA).

Cell: 3.949 3.949 4.357 Å, 90.00 90.00 90.00°
Positions (direct):
H (0.000, 0.000, 0.000)
Au (0.000, 0.000, 0.500)
Pd (0.500, 0.500, 0.500)
Pt (0.000, 0.500, 0.000)
Pt (0.500, 0.000, 0.000)

Results
E above lowest polymorph (kJ/mol of atoms): 6.8